(1)
# LiZnCu2, single point on PBEsol structure, DFT SCAN
# - DFT formation energy: -107 meV per atom
# - Crystal system: tetragonal
# - ρ: 6.9 Mg/m³
# - DFT total energy: -0.8586 Ry/atom
data_LiZnCu2
_space_group_name_H-M_alt 'I 4/m m m'
_space_group_IT_number 139
_space_group_name_Hall '-I 4 2'
_cell_length_a 3.667
_cell_length_b 3.667
_cell_length_c 7.116
_cell_angle_alpha 90.00
_cell_angle_beta 90.00
_cell_angle_gamma 90.00
loop_
_atom_site_label
_atom_site_fract_x
_atom_site_fract_y
_atom_site_fract_z
Li1 0.000 0.000 0.000
Zn1 0.000 0.000 0.500
Cu1 0.000 0.500 0.250

***

(2)
# In3IrCl, single point on PBEsol structure, DFT SCAN
# - ΔE_f (raw): -564 meV/atom
# - Crystal system: cubic
# - ρ: 7.1 Mg/m³
# - DFT total energy: -2.6762 Ry/atom
data_In3IrCl
_space_group_name_H-M_alt 'P m -3 m'
_space_group_IT_number 221
_space_group_name_Hall '-P 4 2 3'
_cell_length_a 5.112
_cell_length_b 5.112
_cell_length_c 5.112
_cell_angle_alpha 90.00
_cell_angle_beta 90.00
_cell_angle_gamma 90.00
loop_
_atom_site_label
_atom_site_fract_x
_atom_site_fract_y
_atom_site_fract_z
In1 0.000 0.000 0.500
Ir1 0.000 0.000 0.000
Cl1 0.500 0.500 0.500

***

(3)
# Ba2TbSnO6, single point on PBEsol structure, DFT SCAN
# - ΔE_f (raw): -2738 meV/atom
# - Crystal system: cubic
# - ρ: 6.9 Mg/m³
# - DFT total energy: -1.6652 Ry/atom
data_Ba2TbSnO6
_space_group_name_H-M_alt 'F m -3 m'
_space_group_IT_number 225
_space_group_name_Hall '-F 4 2 3'
_cell_length_a 8.541
_cell_length_b 8.541
_cell_length_c 8.541
_cell_angle_alpha 90.00
_cell_angle_beta 90.00
_cell_angle_gamma 90.00
loop_
_atom_site_label
_atom_site_fract_x
_atom_site_fract_y
_atom_site_fract_z
Ba1 0.250 0.250 0.250
Tb1 0.000 0.000 0.000
Sn1 0.000 0.000 0.500
O1 0.000 0.000 0.259

***

Record-wise volume values, in Å³/atom: 11.96; 26.71; 15.58